# 1
The following is a DFT calculation (PBE) of a relaxed structure of FeSb2Se.

```
FeSb2Se
1.0
3.089 0.001 0.000
-0.001 3.089 0.000
0.000 0.000 9.105
Fe Sb Se
1 2 1
Direct
0.500 0.500 0.728
0.500 0.500 0.245
0.000 0.000 0.932
0.000 0.000 0.595
```

Computed properties:
The density of states at the Fermi level comes out at 2.1 states/eV per cell. Its final energy is -4.894 eV/atom. The symmetry is No. 99.

=====

# 2
The following is a DFT calculation (PBE) of a relaxed structure of FeSn2SbSe.

```
FeSn2SbSe
1.0
5.267 0.000 0.000
0.000 4.304 0.000
0.000 0.000 5.267
Sn Fe Se Sb
2 1 1 1
Direct
0.000 0.000 0.500
0.500 0.000 0.000
0.000 0.000 0.000
0.000 0.500 0.000
0.500 0.500 0.500
```

Computed properties:
The density of states at the Fermi level comes out at 3.1 states/eV per cell. Its final energy is -4.640 eV/atom. The symmetry is No. 123.